Ca3Mg (meta-GGA SCAN, PBEsol geometry); ΔE_f = -0.005 eV/atom; VASP energy = -67.97 eV per cell; DOS at the Fermi energy = 1.02 states/eV/atom
1.0
7.364 0.000 0.000
-3.682 6.378 0.000
0.000 0.000 5.975
Ca Mg
6 2
direct
0.170 0.340 0.250
0.170 0.830 0.250
0.340 0.170 0.750
0.660 0.830 0.250
0.830 0.170 0.750
0.830 0.660 0.750
0.333 0.667 0.750
0.667 0.333 0.250